{
  "formula": "Na2CoAuF6",
  "functional": "GGA+U",
  "state": "optimized geometry",
  "total_magnetization_mub_per_cell": 0.000,
  "energy_ev_per_atom": -4.01,
  "polymorph_energy_mev_per_atom": 120,
  "cell": [[2.2524, -5.2847, -1.5706], [-3.3821, -4.8916, 0.3176], [-1.8585, -2.6644, -4.9914]],
  "species": ["Na", "Na", "Co", "Au", "F", "F", "F", "F", "F", "F"],
  "frac_coords": [[0.7500, 0.7500, 0.7500], [0.2500, 0.2500, 0.2500], [0.0000, 0.0000, 0.0000], [0.5000, 0.5000, 0.5000], [0.7766, 0.2234, 0.2234], [0.2234, 0.2234, 0.7766], [0.2234, 0.7766, 0.7766], [0.2234, 0.7766, 0.2234], [0.7766, 0.2234, 0.7766], [0.7766, 0.7766, 0.2234]]
}

{
  "formula": "CoAuO2F",
  "functional": "GGA+U",
  "state": "optimized geometry",
  "total_magnetization_mub_per_cell": 3.878,
  "energy_ev_per_atom": -4.37,
  "cell": [[-2.5304, 2.6814, 0.6789], [-1.8545, -2.3274, 2.2798], [2.2934, 1.3444, 3.2380]],
  "species": ["Co", "Au", "O", "O", "F"],
  "frac_coords": [[0.0000, 0.0000, 0.0000], [0.5000, 0.5000, 0.5000], [0.0000, 0.5000, 0.0000], [0.5000, 0.0000, 0.0000], [0.0000, 0.0000, 0.5000]]
}

{
  "formula": "CoAuO2F",
  "functional": "GGA+U",
  "state": "optimized geometry",
  "total_magnetization_mub_per_cell": 2.874,
  "energy_ev_per_atom": -3.82,
  "cell": [[4.0872, 0.0000, 0.0000], [0.0000, 4.0872, 0.0000], [0.0000, 0.0000, 4.2604]],
  "species": ["Co", "Au", "O", "O", "F"],
  "frac_coords": [[0.5000, 0.5000, 0.5000], [0.0000, 0.0000, 0.0000], [0.0000, 0.5000, 0.0000], [0.5000, 0.0000, 0.0000], [0.0000, 0.0000, 0.5000]]
}

no.,volume (Å³/cell)
1,149.4
2,58.9
3,71.2